(1)
Entry from the Alexandria database: crystalline Y2CoOs at its relaxed geometry (PBE-GGA).

* symmetry: I-4m2
* E_tot: -7.620 eV per atom
* energy relative to the elements: 76 kJ/mol of formula units
* DOS at the Fermi energy: 1.183 states/eV/atom
* calculated volume: 79 Å³/f.u.

abc: 5.6756 5.6756 5.6756
angles: 138.52 138.52 60.10
Fractional positions:
Y  0.0000  0.0000  0.0000
Y  0.7500  0.2500  0.5000
Co  0.2500  0.7500  0.5000
Os  0.5000  0.5000  0.0000



(2)
Entry from the Alexandria database: crystalline La4Pr11Er9 at its relaxed geometry (PBE-GGA).

* symmetry: Cmmm
* E_tot: -4.650 eV per atom
* energy relative to the elements: 170 kJ/mol of formula units
* DOS at the Fermi energy: 1.284 states/eV/atom
* calculated volume: 827 Å³/f.u.

abc: 15.4648 15.4648 3.7541
angles: 90.00 90.00 112.88
Fractional positions:
La  0.0549  0.2554  0.0000
La  0.2554  0.0549  0.0000
La  0.7446  0.9451  0.0000
La  0.9451  0.7446  0.0000
Pr  0.0939  0.4560  0.5000
Pr  0.1345  0.8655  0.5000
Pr  0.2120  0.2120  0.5000
Pr  0.3407  0.6593  0.5000
Pr  0.4560  0.0939  0.5000
Pr  0.5000  0.5000  0.5000
Pr  0.5440  0.9061  0.5000
Pr  0.6593  0.3407  0.5000
Pr  0.7880  0.7880  0.5000
Pr  0.8655  0.1345  0.5000
Pr  0.9061  0.5440  0.5000
Er  0.0000  0.0000  0.0000
Er  0.1356  0.6634  0.0000
Er  0.2902  0.4358  0.0000
Er  0.3366  0.8644  0.0000
Er  0.4358  0.2902  0.0000
Er  0.5642  0.7098  0.0000
Er  0.6634  0.1356  0.0000
Er  0.7098  0.5642  0.0000
Er  0.8644  0.3366  0.0000



(3)
Entry from the Alexandria database: crystalline MgCd2Ni2 at its relaxed geometry (PBE-GGA).

* symmetry: P4/mbm
* E_tot: -3.024 eV per atom
* energy relative to the lowest polymorph listed for this composition: 0 meV per atom
* energy relative to the elements: -13 kJ/mol of formula units
* DOS at the Fermi energy: 0.564 states/eV/atom
* calculated volume: 84 Å³/f.u.

abc: 6.7042 6.7042 3.7245
angles: 90.00 90.00 90.00
Fractional positions:
Mg  0.0000  0.0000  0.0000
Mg  0.5000  0.5000  0.0000
Cd  0.1686  0.3314  0.5000
Cd  0.3314  0.8314  0.5000
Cd  0.6686  0.1686  0.5000
Cd  0.8314  0.6686  0.5000
Ni  0.1269  0.6269  0.0000
Ni  0.3731  0.1269  0.0000
Ni  0.6269  0.8731  0.0000
Ni  0.8731  0.3731  0.0000



(4)
Entry from the Alexandria database: crystalline Pr2SnGe3Au4 at its relaxed geometry (PBE-GGA).

* symmetry: P-4m2
* E_tot: -4.610 eV per atom
* energy relative to the elements: -538 kJ/mol of formula units
* DOS at the Fermi energy: 0.307 states/eV/atom
* calculated volume: 221 Å³/f.u.

abc: 4.4568 4.4568 11.1505
angles: 90.00 90.00 90.00
Fractional positions:
Pr  0.0000  0.5000  0.2285
Pr  0.5000  0.0000  0.7715
Sn  0.0000  0.0000  0.5000
Ge  0.0000  0.5000  0.8714
Ge  0.5000  0.0000  0.1286
Ge  0.5000  0.5000  0.5000
Au  0.0000  0.0000  0.0000
Au  0.0000  0.5000  0.6475
Au  0.5000  0.0000  0.3525
Au  0.5000  0.5000  0.0000



(5)
Entry from the Alexandria database: crystalline LiPuSiO6 at its relaxed geometry (PBE-GGA).

* symmetry: P-31c
* E_tot: -7.918 eV per atom
* formation energy from raw total energies: -2.21 eV per atom
* calculated volume: 104 Å³/f.u.

abc: 5.0654 5.0654 9.3533
angles: 90.00 90.00 120.00
Fractional positions:
Li  0.0000  0.0000  0.0000
Li  0.0000  0.0000  0.5000
Pu  0.3333  0.6667  0.2500
Pu  0.6667  0.3333  0.7500
Si  0.3333  0.6667  0.7500
Si  0.6667  0.3333  0.2500
O  0.0323  0.3754  0.6416
O  0.0323  0.6568  0.8584
O  0.3432  0.3754  0.8584
O  0.3432  0.9677  0.6416
O  0.3754  0.0323  0.1416
O  0.3754  0.3432  0.3584
O  0.6246  0.6568  0.6416
O  0.6246  0.9677  0.8584
O  0.6568  0.0323  0.3584
O  0.6568  0.6246  0.1416
O  0.9677  0.3432  0.1416
O  0.9677  0.6246  0.3584



(6)
Entry from the Alexandria database: crystalline KBeCd at its relaxed geometry (PBE-GGA).

* symmetry: Imm2
* E_tot: -1.468 eV per atom
* energy relative to the lowest polymorph listed for this composition: 186 meV per atom
* energy relative to the elements: 129 kJ/mol of formula units
* DOS at the Fermi energy: 0.357 states/eV/atom
* calculated volume: 75 Å³/f.u.

abc: 6.6998 6.6998 6.6998
angles: 154.92 143.72 44.61
Fractional positions:
K  0.0000  0.0000  0.0000
Be  0.7351  0.7351  0.0000
Cd  0.2700  0.2700  0.0000



(7)
Entry from the Alexandria database: crystalline ZnSi3N at its relaxed geometry (PBE-GGA).

* symmetry: Pm-3m
* E_tot: -4.484 eV per atom
* energy relative to the lowest polymorph listed for this composition: 0 meV per atom
* DOS at the Fermi energy: 0.509 states/eV/atom
* formation energy from raw total energies: 0.69 eV per atom
* calculated volume: 68 Å³/f.u.

abc: 4.0767 4.0767 4.0767
angles: 90.00 90.00 90.00
Fractional positions:
Zn  0.0000  0.0000  0.0000
Si  0.0000  0.5000  0.5000
Si  0.5000  0.0000  0.5000
Si  0.5000  0.5000  0.0000
N  0.5000  0.5000  0.5000



(8)
Entry from the Alexandria database: crystalline Tm2LuCu at its relaxed geometry (PBE-GGA).

* symmetry: R-3m
* E_tot: -4.362 eV per atom
* energy relative to the lowest polymorph listed for this composition: 136 meV per atom
* energy relative to the elements: 11 kJ/mol of formula units
* DOS at the Fermi energy: 1.253 states/eV/atom
* calculated volume: 104 Å³/f.u.

abc: 9.9293 9.9293 9.9293
angles: 20.39 20.39 20.39
Fractional positions:
Tm  0.2358  0.2358  0.2358
Tm  0.7642  0.7642  0.7642
Lu  0.0000  0.0000  0.0000
Cu  0.5000  0.5000  0.5000



(9)
Entry from the Alexandria database: crystalline Tb5Pr3Tm at its relaxed geometry (PBE-GGA).

* symmetry: C2/m
* E_tot: -4.143 eV per atom
* energy relative to the elements: 451 kJ/mol of formula units
* DOS at the Fermi energy: 1.459 states/eV/atom
* calculated volume: 337 Å³/f.u.

abc: 9.5920 9.5920 10.0255
angles: 121.21 121.21 73.39
Fractional positions:
Tb  0.0888  0.5914  0.2492
Tb  0.2212  0.2212  0.2281
Tb  0.2446  0.7554  0.0000
Tb  0.2777  0.2777  0.9621
Tb  0.4086  0.9112  0.7508
Tb  0.5914  0.0888  0.2492
Tb  0.7223  0.7223  0.0379
Tb  0.7554  0.2446  0.0000
Tb  0.7788  0.7788  0.7719
Tb  0.9112  0.4086  0.7508
Pr  0.0000  0.0000  0.5000
Pr  0.0074  0.0074  0.8114
Pr  0.4791  0.4791  0.6414
Pr  0.5000  0.5000  0.0000
Pr  0.5209  0.5209  0.3586
Pr  0.9926  0.9926  0.1886
Tm  0.2525  0.2525  0.6021
Tm  0.7475  0.7475  0.3979



Copy entry 2 word for word.
Entry from the Alexandria database: crystalline La4Pr11Er9 at its relaxed geometry (PBE-GGA).

* symmetry: Cmmm
* E_tot: -4.650 eV per atom
* energy relative to the elements: 170 kJ/mol of formula units
* DOS at the Fermi energy: 1.284 states/eV/atom
* calculated volume: 827 Å³/f.u.

abc: 15.4648 15.4648 3.7541
angles: 90.00 90.00 112.88
Fractional positions:
La  0.0549  0.2554  0.0000
La  0.2554  0.0549  0.0000
La  0.7446  0.9451  0.0000
La  0.9451  0.7446  0.0000
Pr  0.0939  0.4560  0.5000
Pr  0.1345  0.8655  0.5000
Pr  0.2120  0.2120  0.5000
Pr  0.3407  0.6593  0.5000
Pr  0.4560  0.0939  0.5000
Pr  0.5000  0.5000  0.5000
Pr  0.5440  0.9061  0.5000
Pr  0.6593  0.3407  0.5000
Pr  0.7880  0.7880  0.5000
Pr  0.8655  0.1345  0.5000
Pr  0.9061  0.5440  0.5000
Er  0.0000  0.0000  0.0000
Er  0.1356  0.6634  0.0000
Er  0.2902  0.4358  0.0000
Er  0.3366  0.8644  0.0000
Er  0.4358  0.2902  0.0000
Er  0.5642  0.7098  0.0000
Er  0.6634  0.1356  0.0000
Er  0.7098  0.5642  0.0000
Er  0.8644  0.3366  0.0000



Look up the E_tot of the eighth one. -4.362 eV per atom